Record 1
## Ba6CdIrAu2 (GGA-PBE)

Data for an optimized crystal structure of Ba6CdIrAu2.

mass density = 5.68 g cm⁻³
M_tot = 0.00 μB/f.u.
VASP energy = -0.1163 hartree per atom
ΔH_f (0 K) = -0.38 eV per atom
DOS at the Fermi energy = 5.89 states/eV/cell
space group = P1 (1)

Unit cell a=8.2236 b=8.2265 c=8.9521 alpha=90.05 beta=117.28 gamma=119.98
With the nearest neighbours (Å) after each atom.
Element x y z (fractional)
Ba 0.0000 0.0000 0.0000  1 Ir 3.10, 2 Au 3.33-3.47
Ba 0.0071 0.8195 0.4620  1 Ir 3.09, 2 Au 3.33-3.34
Ba 0.3416 0.7146 0.9993  1 Ir 3.10, 1 Au 3.34
Ba 0.3566 0.5602 0.4620  1 Ir 3.09, 2 Au 3.33-3.34
Ba 0.6161 0.1684 0.4630  1 Ir 3.09, 2 Au 3.33-3.34
Ba 0.7144 0.3724 0.0001  1 Ir 3.10, 2 Au 3.33-3.47
Cd 0.1509 0.2613 0.6977  1 Au 3.13
Ir 0.1690 0.7707 0.2254  6 Ba 3.09-3.10
Au 0.8331 0.6030 0.7224  6 Ba 3.33-3.34
Au 0.8749 0.1238 0.2849  1 Cd 3.13, 6 Ba 3.33-3.47


Record 2
## Ba8CdIrAu2 (GGA-PBE)

Data for an optimized crystal structure of Ba8CdIrAu2.

mass density = 5.00 g cm⁻³
M_tot = 0.00 μB/f.u.
VASP energy = -0.1096 hartree per atom
ΔH_f (0 K) = -0.34 eV per atom
DOS at the Fermi energy = 8.58 states/eV/cell
space group = P2/m (10)

Unit cell a=7.6459 b=9.8989 c=7.8890 alpha=90.00 beta=90.55 gamma=90.00
With the nearest neighbours (Å) after each atom.
Element x y z (fractional)
Ba 0.2206 0.0000 0.3398  2 Au 3.30, 1 Cd 3.44
Ba 0.2432 0.5000 0.3102  1 Ir 3.15, 2 Au 3.40
Ba 0.2770 0.2783 0.8292  1 Ir 3.08, 1 Au 3.34
Ba 0.2770 0.7217 0.8292  1 Ir 3.08, 1 Au 3.34
Ba 0.7230 0.2783 0.1708  1 Ir 3.08, 1 Au 3.34
Ba 0.7230 0.7217 0.1708  1 Ir 3.08, 1 Au 3.34
Ba 0.7568 0.5000 0.6898  1 Ir 3.15, 2 Au 3.40
Ba 0.7794 0.0000 0.6602  2 Au 3.30, 1 Cd 3.44
Cd 0.5000 0.0000 0.0000  6 Ba 3.44-3.50
Ir 0.5000 0.5000 0.0000  6 Ba 3.08-3.15
Au 0.0000 0.2561 0.5000  6 Ba 3.30-3.40
Au 0.0000 0.7439 0.5000  6 Ba 3.30-3.40


Record 3
## Ba2CdIrAu (GGA-PBE)

Data for an optimized crystal structure of Ba2CdIrAu.

mass density = 6.92 g cm⁻³
M_tot = 0.00 μB/f.u.
VASP energy = -0.1310 hartree per atom
ΔH_f (0 K) = -0.18 eV per atom
DOS at the Fermi energy = 3.02 states/eV/cell
space group = P4/mmm (123)

Unit cell a=5.9869 b=5.9869 c=5.1983 alpha=90.00 beta=90.00 gamma=90.00
With the nearest neighbours (Å) after each atom.
Element x y z (fractional)
Ba 0.0000 0.5000 0.0000  2 Ir 2.99
Ba 0.5000 0.0000 0.0000  2 Ir 2.99
Cd 0.0000 0.0000 0.5000  2 Ir 2.60
Ir 0.0000 0.0000 0.0000  2 Cd 2.60
Au 0.5000 0.5000 0.5000  8 Ba 3.96, 4 Cd 4.23


Record 4
## KBaCd2Au2 (GGA-PBE)

Data for an optimized crystal structure of KBaCd2Au2.

mass density = 6.90 g cm⁻³
M_tot = 0.00 μB/f.u.
VASP energy = -0.0849 hartree per atom
ΔH_f (0 K) = -0.41 eV per atom
DOS at the Fermi energy = 3.47 states/eV/cell
space group = P-3m1 (164)

Unit cell a=4.9115 b=4.9115 c=9.1550 alpha=90.00 beta=90.00 gamma=120.00
With the nearest neighbours (Å) after each atom.
Element x y z (fractional)
K 0.0000 0.0000 0.0000  6 Cd 3.63, 6 Au 3.76
Ba 0.0000 0.0000 0.5000  6 Au 3.53, 6 Cd 3.65
Cd 0.3333 0.6667 0.7517  3 Au 2.84
Cd 0.6667 0.3333 0.2483  3 Au 2.84
Au 0.3333 0.6667 0.2699  3 Cd 2.84
Au 0.6667 0.3333 0.7301  3 Cd 2.84


Record 5
## Ba2LaCdAu6 (GGA-PBE)

Data for an optimized crystal structure of Ba2LaCdAu6.

mass density = 8.28 g cm⁻³
M_tot = 0.00 μB/f.u.
VASP energy = -0.1189 hartree per atom
ΔH_f (0 K) = -0.30 eV per atom
DOS at the Fermi energy = 4.49 states/eV/cell
space group = Fm-3m (225)

Unit cell a=7.8530 b=7.8530 c=7.8530 alpha=60.00 beta=60.00 gamma=60.00
With the nearest neighbours (Å) after each atom.
Element x y z (fractional)
Ba 0.2500 0.2500 0.2500  12 Au 3.93
Ba 0.7500 0.7500 0.7500  12 Au 3.93
La 0.0000 0.0000 0.0000  6 Au 2.87
Cd 0.5000 0.5000 0.5000  6 Au 2.69
Au 0.2581 0.2581 0.7419  1 Cd 2.69, 1 La 2.87
Au 0.2581 0.7419 0.2581  1 Cd 2.69, 1 La 2.87
Au 0.2581 0.7419 0.7419  1 Cd 2.69, 1 La 2.87
Au 0.7419 0.2581 0.2581  1 Cd 2.69, 1 La 2.87
Au 0.7419 0.2581 0.7419  1 Cd 2.69, 1 La 2.87
Au 0.7419 0.7419 0.2581  1 Cd 2.69, 1 La 2.87


Record 6
## Ba3Li2Cd2Au4 (GGA-PBE)

Data for an optimized crystal structure of Ba3Li2Cd2Au4.

mass density = 7.22 g cm⁻³
M_tot = 0.00 μB/f.u.
VASP energy = -0.1000 hartree per atom
ΔH_f (0 K) = -0.49 eV per atom
DOS at the Fermi energy = 8.23 states/eV/cell
space group = P-3m1 (164)

Unit cell a=4.8925 b=4.8925 c=15.9587 alpha=90.00 beta=90.00 gamma=120.00
With the nearest neighbours (Å) after each atom.
Element x y z (fractional)
Ba 0.0000 0.0000 0.0000  6 Au 3.58, 6 Cd 3.62
Ba 0.0000 0.0000 0.2801  6 Au 3.35-3.63, 3 Cd 3.58
Ba 0.0000 0.0000 0.7199  6 Au 3.35-3.63, 3 Cd 3.58
Li 0.3333 0.6667 0.5563  1 Au 2.61
Li 0.6667 0.3333 0.4437  1 Au 2.61
Cd 0.3333 0.6667 0.1422  3 Au 2.83
Cd 0.6667 0.3333 0.8578  3 Au 2.83
Au 0.3333 0.6667 0.3931  1 Li 2.61
Au 0.3333 0.6667 0.8624  3 Cd 2.83
Au 0.6667 0.3333 0.1376  3 Cd 2.83
Au 0.6667 0.3333 0.6069  1 Li 2.61


Record 7
## BaLiCd2Au4 (GGA-PBE)

Data for an optimized crystal structure of BaLiCd2Au4.

mass density = 10.48 g cm⁻³
M_tot = 0.00 μB/f.u.
VASP energy = -0.1024 hartree per atom
ΔH_f (0 K) = -0.44 eV per atom
DOS at the Fermi energy = 2.37 states/eV/cell
space group = R-3m (166)

Unit cell a=9.6410 b=9.6410 c=9.6410 alpha=28.76 beta=28.76 gamma=28.76
With the nearest neighbours (Å) after each atom.
Element x y z (fractional)
Ba 0.0000 0.0000 0.0000  8 Au 3.41-3.64
Li 0.5000 0.5000 0.5000  2 Au 2.61
Cd 0.2360 0.2360 0.2360  7 Au 2.85-2.92
Cd 0.7640 0.7640 0.7640  7 Au 2.85-2.92
Au 0.1314 0.1314 0.1314  4 Cd 2.90-2.92, 3 Li 2.93, 3 Au 3.21
Au 0.4056 0.4056 0.4056  1 Li 2.61, 3 Cd 2.85
Au 0.5944 0.5944 0.5944  1 Li 2.61, 3 Cd 2.85
Au 0.8686 0.8686 0.8686  4 Cd 2.90-2.92, 3 Li 2.93, 3 Au 3.21


Record 8
## Ba3Li2CdAu6 (GGA-PBE)

Data for an optimized crystal structure of Ba3Li2CdAu6.

mass density = 8.29 g cm⁻³
M_tot = 0.00 μB/f.u.
VASP energy = -0.1100 hartree per atom
ΔH_f (0 K) = -0.48 eV per atom
DOS at the Fermi energy = 5.35 states/eV/cell
space group = P-3m1 (164)

Unit cell a=6.7686 b=6.7686 c=8.6840 alpha=90.00 beta=90.00 gamma=120.00
With the nearest neighbours (Å) after each atom.
Element x y z (fractional)
Ba 0.0000 0.0000 0.0000  6 Au 3.33
Ba 0.3333 0.6667 0.6286  9 Au 3.43-3.47, 1 Li 3.69
Ba 0.6667 0.3333 0.3714  9 Au 3.43-3.47, 1 Li 3.69
Li 0.3333 0.6667 0.0537  3 Au 2.63
Li 0.6667 0.3333 0.9463  3 Au 2.63
Cd 0.0000 0.0000 0.5000  6 Au 2.89
Au 0.1888 0.3776 0.2858  1 Li 2.63, 1 Cd 2.89, 2 Au 2.94
Au 0.1888 0.8112 0.2858  1 Li 2.63, 1 Cd 2.89, 2 Au 2.94
Au 0.3776 0.1888 0.7142  1 Li 2.63, 1 Cd 2.89, 2 Au 2.94
Au 0.6224 0.8112 0.2858  1 Li 2.63, 1 Cd 2.89, 2 Au 2.94
Au 0.8112 0.1888 0.7142  1 Li 2.63, 1 Cd 2.89, 2 Au 2.94
Au 0.8112 0.6224 0.7142  1 Li 2.63, 1 Cd 2.89, 2 Au 2.94


Record 9
## BaLiCd2Au (GGA-PBE)

Data for an optimized crystal structure of BaLiCd2Au.

mass density = 6.97 g cm⁻³
M_tot = 0.00 μB/f.u.
VASP energy = -0.0755 hartree per atom
ΔH_f (0 K) = -0.27 eV per atom
DOS at the Fermi energy = 3.39 states/eV/cell
relative energy among the computed polymorphs = 145.0 meV per atom
space group = P4/mmm (123)

Unit cell a=5.1227 b=5.1227 c=5.1359 alpha=90.00 beta=90.00 gamma=90.00
With the nearest neighbours (Å) after each atom.
Element x y z (fractional)
Ba 0.0000 0.0000 0.0000  4 Au 3.62, 8 Cd 3.63
Li 0.5000 0.5000 0.5000  4 Cd 2.56, 2 Au 2.57
Cd 0.0000 0.5000 0.5000  2 Li 2.56
Cd 0.5000 0.0000 0.5000  2 Li 2.56
Au 0.5000 0.5000 0.0000  2 Li 2.57


Record 10
## Ba2LiCd4Au3 (GGA-PBE)

Data for an optimized crystal structure of Ba2LiCd4Au3.

mass density = 8.20 g cm⁻³
M_tot = 0.00 μB/f.u.
VASP energy = -0.0869 hartree per atom
ΔH_f (0 K) = -0.44 eV per atom
DOS at the Fermi energy = 5.12 states/eV/cell
space group = P-4m2 (115)

Unit cell a=4.5459 b=4.5459 c=12.9608 alpha=90.00 beta=90.00 gamma=90.00
With the nearest neighbours (Å) after each atom.
Element x y z (fractional)
Ba 0.0000 0.5000 0.2403  4 Au 3.45, 8 Cd 3.61-3.86
Ba 0.5000 0.0000 0.7597  4 Au 3.45, 8 Cd 3.61-3.86
Li 0.0000 0.0000 0.5000  4 Cd 2.85
Cd 0.0000 0.0000 0.0000  4 Au 2.94, 4 Cd 3.21
Cd 0.0000 0.5000 0.6322  2 Li 2.85, 3 Au 2.85-2.91
Cd 0.5000 0.0000 0.3678  2 Li 2.85, 3 Au 2.85-2.91
Cd 0.5000 0.5000 0.0000  4 Au 2.94, 4 Cd 3.21
Au 0.0000 0.5000 0.8564  5 Cd 2.91-2.94
Au 0.5000 0.0000 0.1436  5 Cd 2.91-2.94
Au 0.5000 0.5000 0.5000  4 Cd 2.85


Record 11
## BaLiCd4Au2 (GGA-PBE)

Data for an optimized crystal structure of BaLiCd4Au2.

mass density = 8.36 g cm⁻³
M_tot = 0.00 μB/f.u.
VASP energy = -0.0766 hartree per atom
ΔH_f (0 K) = -0.33 eV per atom
DOS at the Fermi energy = 2.33 states/eV/cell
space group = R-3m (166)

Unit cell a=10.3654 b=10.3654 c=10.3654 alpha=26.55 beta=26.55 gamma=26.55
With the nearest neighbours (Å) after each atom.
Element x y z (fractional)
Ba 0.0000 0.0000 0.0000  6 Cd 3.52
Li 0.5000 0.5000 0.5000  8 Cd 2.80-2.94
Cd 0.1320 0.1320 0.1320  4 Au 2.89-2.98, 3 Li 2.94
Cd 0.4065 0.4065 0.4065  1 Li 2.80, 3 Au 2.88
Cd 0.5935 0.5935 0.5935  1 Li 2.80, 3 Au 2.88
Cd 0.8680 0.8680 0.8680  4 Au 2.89-2.98, 3 Li 2.94
Au 0.2315 0.2315 0.2315  7 Cd 2.88-2.98
Au 0.7685 0.7685 0.7685  7 Cd 2.88-2.98


Record 12
## Ba2LiCdAu (GGA-PBE)

Data for an optimized crystal structure of Ba2LiCdAu.

mass density = 4.91 g cm⁻³
M_tot = 0.00 μB/f.u.
VASP energy = -0.0849 hartree per atom
ΔH_f (0 K) = -0.32 eV per atom
DOS at the Fermi energy = 3.15 states/eV/cell
space group = P4/mmm (123)

Unit cell a=6.3454 b=6.3454 c=4.9677 alpha=90.00 beta=90.00 gamma=90.00
With the nearest neighbours (Å) after each atom.
Element x y z (fractional)
Ba 0.0000 0.5000 0.0000  2 Au 3.17
Ba 0.5000 0.0000 0.0000  2 Au 3.17
Li 0.0000 0.0000 0.5000  2 Au 2.48
Cd 0.5000 0.5000 0.5000  8 Ba 4.03, 4 Li 4.49
Au 0.0000 0.0000 0.0000  2 Li 2.48